<i>
Computed, not measured: a relaxed Hg5Br crystal at the GGA-PBE level of DFT.

Output
For the density, the calculation gives 9723 kg/m3. The total moment is 0.00 μB/f.u. The crystal system is monoclinic.

Structure (CIF):
```
data_Hg5Br
_chemical_formula_sum 'Hg10 Br2'
_cell_length_a 13.225
_cell_length_b 4.380
_cell_length_c 7.920
_cell_angle_alpha 90.00
_cell_angle_beta 126.27
_cell_angle_gamma 90.00
_space_group_name_H-M_alt 'C 1 2/m 1'
_space_group_IT_number 12
loop_
_space_group_symop_operation_xyz
'x,y,z'
'-x,-y,-z'
'-x,y,-z'
'x,-y,z'
'x+1/2,y+1/2,z'
'-x+1/2,-y+1/2,-z'
'-x+1/2,y+1/2,-z'
'x+1/2,-y+1/2,z'
loop_
_atom_site_label
_atom_site_type_symbol
_atom_site_fract_x
_atom_site_fract_y
_atom_site_fract_z
Hg1 Hg 0.000 0.000 0.000
Hg2 Hg 0.160 0.000 0.853
Hg3 Hg 0.185 0.500 0.326
Br1 Br 0.000 0.500 0.500
```


<ii>
Computed, not measured: a relaxed Hg5Br crystal at the GGA-PBE level of DFT.

Output
For the density, the calculation gives 10609 kg/m3. The total moment is 0.00 μB/f.u. The crystal system is tetragonal.

Structure (CIF):
```
data_Hg5Br
_chemical_formula_sum 'Hg5 Br1'
_cell_length_a 3.860
_cell_length_b 3.860
_cell_length_c 11.377
_cell_angle_alpha 90.00
_cell_angle_beta 90.00
_cell_angle_gamma 90.00
_space_group_name_H-M_alt 'P 4/m m m'
_space_group_IT_number 123
_space_group_name_Hall '-P 4 2'
loop_
_atom_site_label
_atom_site_type_symbol
_atom_site_fract_x
_atom_site_fract_y
_atom_site_fract_z
Hg1 Hg 0.000 0.000 0.000
Hg2 Hg 0.000 0.000 0.328
Hg3 Hg 0.500 0.500 0.179
Br1 Br 0.500 0.500 0.500
```


<iii>
Computed, not measured: a relaxed Hg5Br crystal at the GGA-PBE level of DFT.

Output
For the density, the calculation gives 10006 kg/m3. The total moment is 0.00 μB/f.u. The crystal system is orthorhombic.

Structure (CIF):
```
data_Hg5Br
_chemical_formula_sum 'Hg10 Br2'
_cell_length_a 6.264
_cell_length_b 13.623
_cell_length_c 4.211
_cell_angle_alpha 90.00
_cell_angle_beta 90.00
_cell_angle_gamma 90.00
_space_group_name_H-M_alt 'C m m m'
_space_group_IT_number 65
_space_group_name_Hall '-C 2 2'
loop_
_atom_site_label
_atom_site_type_symbol
_atom_site_fract_x
_atom_site_fract_y
_atom_site_fract_z
Hg1 Hg 0.000 0.000 0.000
Hg2 Hg 0.000 0.160 0.500
Hg3 Hg 0.000 0.326 0.000
Br1 Br 0.000 0.500 0.500
```


Computed relative energies in units of eV/atom: <i> 0.000; <ii> 0.072; <iii> 0.027


<i>
Computed, not measured: a relaxed Hg4Br crystal at the GGA-PBE level of DFT.

Output
For the density, the calculation gives 7011 kg/m3. The total moment is 0.00 μB/f.u. The crystal system is cubic.

Structure (CIF):
```
data_Hg4Br
_chemical_formula_sum 'Hg8 Br2'
_cell_length_a 7.476
_cell_length_b 7.476
_cell_length_c 7.476
_cell_angle_alpha 90.00
_cell_angle_beta 90.00
_cell_angle_gamma 90.00
_space_group_name_H-M_alt 'I m -3 m'
_space_group_IT_number 229
_space_group_name_Hall '-I 4 2 3'
loop_
_atom_site_label
_atom_site_type_symbol
_atom_site_fract_x
_atom_site_fract_y
_atom_site_fract_z
Hg1 Hg 0.250 0.250 0.250
Br1 Br 0.000 0.000 0.000
```


<ii>
Computed, not measured: a relaxed Hg4Br crystal at the GGA-PBE level of DFT.

Output
For the density, the calculation gives 8147 kg/m3. The total moment is 0.00 μB/f.u. The crystal system is monoclinic.

Structure (CIF):
```
data_Hg4Br
_chemical_formula_sum 'Hg8 Br2'
_cell_length_a 7.125
_cell_length_b 5.612
_cell_length_c 9.499
_cell_angle_alpha 90.00
_cell_angle_beta 108.73
_cell_angle_gamma 90.00
_space_group_name_H-M_alt 'P 1 2/c 1'
_space_group_IT_number 13
loop_
_space_group_symop_operation_xyz
'x,y,z'
'-x,-y,-z'
'-x,y,-z+1/2'
'x,-y,z+1/2'
loop_
_atom_site_label
_atom_site_type_symbol
_atom_site_fract_x
_atom_site_fract_y
_atom_site_fract_z
Hg1 Hg 0.165 0.119 0.447
Hg2 Hg 0.180 0.385 0.891
Br1 Br 0.500 0.248 0.750
```


Computed relative energies in units of eV/atom: <i> 0.255; <ii> 0.000